This record from Alexandria via LeMat-Bulk describes a geometry-optimized CdReMoI2 structure. The functional is PBE-GGA. Values from VASP.

Structure (Quantum ESPRESSO input):
```
&SYSTEM
  ibrav = 0, nat = 5, ntyp = 4
/
ATOMIC_SPECIES
I 126.90 I.upf
Re 186.21 Re.upf
Mo 95.94 Mo.upf
Cd 112.41 Cd.upf
CELL_PARAMETERS angstrom
5.896 0.000 0.000
0.000 5.596 0.000
0.000 0.000 5.896
ATOMIC_POSITIONS crystal
I 0.000 0.000 0.500
I 0.500 0.000 0.000
Re 0.500 0.500 0.500
Mo 0.000 0.500 0.000
Cd 0.000 0.000 0.000
```

Output
* final energy: -0.118 Ha/atom
* energy relative to the elements, uncorrected: 11.20 eV per formula unit
* magnetic moment: 10.170 μB/f.u.
* calculated density: 5.535 g cm⁻³

=====

This record from Alexandria via LeMat-Bulk describes a geometry-optimized DySc2Al3 structure. The functional is PBE-GGA. Values from VASP.

Structure (Quantum ESPRESSO input):
```
&SYSTEM
  ibrav = 0, nat = 6, ntyp = 3
/
ATOMIC_SPECIES
Dy 162.50 Dy.upf
Sc 44.96 Sc.upf
Al 26.98 Al.upf
CELL_PARAMETERS angstrom
3.448 0.000 0.000
0.000 3.448 0.000
0.000 0.000 10.366
ATOMIC_POSITIONS crystal
Dy 0.500 0.500 0.500
Sc 0.500 0.500 0.842
Sc 0.500 0.500 0.158
Al 0.000 0.000 0.000
Al 0.000 0.000 0.686
Al 0.000 0.000 0.314
```

Output
* final energy: -0.190 Ha/atom
* ΔH_f (0 K): -427 meV per atom
* magnetic moment: 0.000 μB/f.u.
* calculated density: 4.493 g cm⁻³

=====

This record from Alexandria via LeMat-Bulk describes a geometry-optimized BeCdIr2 structure. The functional is PBE-GGA. Values from VASP.

Structure (Quantum ESPRESSO input):
```
&SYSTEM
  ibrav = 0, nat = 4, ntyp = 3
/
ATOMIC_SPECIES
Be 9.01 Be.upf
Ir 192.22 Ir.upf
Cd 112.41 Cd.upf
CELL_PARAMETERS angstrom
-1.380 0.051 -3.333
1.869 -1.840 -0.802
-2.815 -5.393 1.083
ATOMIC_POSITIONS crystal
Be 0.000 0.730 0.414
Ir 0.000 0.919 0.038
Ir 0.500 0.284 0.305
Cd 0.500 0.567 0.743
```

Output
* final energy: -0.204 Ha/atom
* ΔH_f (0 K): 50 meV per atom
* magnetic moment: 0.000 μB/f.u.
* calculated density: 14.095 g cm⁻³
* energy above the most stable polymorph in this dataset: 138 meV/atom

=====

This record from Alexandria via LeMat-Bulk describes a geometry-optimized NbTlCuTcTe structure. The functional is PBE-GGA. Values from VASP.

Structure (Quantum ESPRESSO input):
```
&SYSTEM
  ibrav = 0, nat = 5, ntyp = 5
/
ATOMIC_SPECIES
Tl 204.38 Tl.upf
Te 127.60 Te.upf
Tc 98.00 Tc.upf
Nb 92.91 Nb.upf
Cu 63.55 Cu.upf
CELL_PARAMETERS angstrom
-2.486 1.219 3.006
-0.026 -3.263 1.302
6.302 1.746 4.503
ATOMIC_POSITIONS crystal
Tl 0.500 0.000 0.160
Te 0.000 0.500 0.546
Tc 0.000 0.000 0.810
Nb 0.500 0.500 0.808
Cu 0.000 0.500 0.053
```

Output
* final energy: -0.215 Ha/atom
* energy relative to the elements, uncorrected: 0.75 eV per formula unit
* magnetic moment: 0.000 μB/f.u.
* calculated density: 8.543 g cm⁻³
* energy above the most stable polymorph in this dataset: 51 meV/atom

=====

This record from Alexandria via LeMat-Bulk describes a geometry-optimized ZnFe2Mo structure. The functional is PBE-GGA. Values from VASP.

Structure (Quantum ESPRESSO input):
```
&SYSTEM
  ibrav = 0, nat = 4, ntyp = 3
/
ATOMIC_SPECIES
Fe 55.84 Fe.upf
Mo 95.94 Mo.upf
Zn 65.41 Zn.upf
CELL_PARAMETERS angstrom
8.626 0.010 0.006
8.199 2.679 0.006
8.199 1.310 2.337
ATOMIC_POSITIONS crystal
Fe 0.995 0.995 0.995
Fe 0.255 0.255 0.255
Mo 0.505 0.505 0.505
Zn 0.745 0.745 0.745
```

Output
* final energy: -0.260 Ha/atom
* ΔH_f (0 K): 195 meV per atom
* magnetic moment: 3.903 μB/f.u.
* calculated density: 8.445 g cm⁻³

=====

This record from Alexandria via LeMat-Bulk describes a geometry-optimized EuInTe structure. The functional is PBE-GGA. Values from VASP.

Structure (Quantum ESPRESSO input):
```
&SYSTEM
  ibrav = 0, nat = 3, ntyp = 3
/
ATOMIC_SPECIES
Eu 151.96 Eu.upf
Te 127.60 Te.upf
In 114.82 In.upf
CELL_PARAMETERS angstrom
4.006 0.000 0.000
0.000 5.267 0.000
0.000 -2.634 4.562
ATOMIC_POSITIONS crystal
Eu 0.333 0.333 0.667
Te 0.831 0.667 0.333
In 0.836 0.000 0.000
```

Output
* final energy: -0.221 Ha/atom
* energy relative to the elements, uncorrected: -1.90 eV per formula unit
* magnetic moment: 7.234 μB/f.u.
* calculated density: 6.803 g cm⁻³

=====

This record from Alexandria via LeMat-Bulk describes a geometry-optimized CaPtW2 structure. The functional is PBE-GGA. Values from VASP.

Structure (Quantum ESPRESSO input):
```
&SYSTEM
  ibrav = 0, nat = 4, ntyp = 3
/
ATOMIC_SPECIES
Ca 40.08 Ca.upf
W 183.84 W.upf
Pt 195.08 Pt.upf
CELL_PARAMETERS angstrom
5.493 -0.019 0.000
2.762 4.748 0.000
-4.127 -2.365 2.747
ATOMIC_POSITIONS crystal
Ca 0.250 0.750 0.500
W 0.000 0.000 0.000
W 0.500 0.500 0.000
Pt 0.750 0.250 0.500
```

Output
* final energy: -0.297 Ha/atom
* ΔH_f (0 K): 406 meV per atom
* magnetic moment: 0.000 μB/f.u.
* calculated density: 13.946 g cm⁻³
* energy above the most stable polymorph in this dataset: 235 meV/atom

=====

This record from Alexandria via LeMat-Bulk describes a geometry-optimized Ga2Cu2Cl structure. The functional is PBE-GGA. Values from VASP.

Structure (Quantum ESPRESSO input):
```
&SYSTEM
  ibrav = 0, nat = 5, ntyp = 3
/
ATOMIC_SPECIES
Cu 63.55 Cu.upf
Ga 69.72 Ga.upf
Cl 35.45 Cl.upf
CELL_PARAMETERS angstrom
3.683 0.000 0.000
0.000 3.683 0.000
1.842 1.842 6.514
ATOMIC_POSITIONS crystal
Cu 0.750 0.250 0.500
Cu 0.250 0.750 0.500
Ga 0.397 0.397 0.206
Ga 0.603 0.603 0.794
Cl 0.000 0.000 0.000
```

Output
* final energy: -0.117 Ha/atom
* energy relative to the elements, uncorrected: 0.19 eV per formula unit
* magnetic moment: 0.000 μB/f.u.
* calculated density: 5.674 g cm⁻³

=====

Please write out number 4 again, unchanged.
This record from Alexandria via LeMat-Bulk describes a geometry-optimized NbTlCuTcTe structure. The functional is PBE-GGA. Values from VASP.

Structure (Quantum ESPRESSO input):
```
&SYSTEM
  ibrav = 0, nat = 5, ntyp = 5
/
ATOMIC_SPECIES
Tl 204.38 Tl.upf
Te 127.60 Te.upf
Tc 98.00 Tc.upf
Nb 92.91 Nb.upf
Cu 63.55 Cu.upf
CELL_PARAMETERS angstrom
-2.486 1.219 3.006
-0.026 -3.263 1.302
6.302 1.746 4.503
ATOMIC_POSITIONS crystal
Tl 0.500 0.000 0.160
Te 0.000 0.500 0.546
Tc 0.000 0.000 0.810
Nb 0.500 0.500 0.808
Cu 0.000 0.500 0.053
```

Output
* final energy: -0.215 Ha/atom
* energy relative to the elements, uncorrected: 0.75 eV per formula unit
* magnetic moment: 0.000 μB/f.u.
* calculated density: 8.543 g cm⁻³
* energy above the most stable polymorph in this dataset: 51 meV/atom

=====

Question: Which of these has the highest calculated density?
Answer: BeCdIr2

=====

Question: Which formula does entry 8 have?
Answer: Ga2Cu2Cl